No. 1
{"formula": "Rb2NbTl3Se6", "functional": "GGA-PBE", "state": "optimized geometry", "lattice": [[3.9656, -7.5143, 0.0000], [3.9656, 7.5143, 0.0000], [-2.6132, 0.0000, 6.7581]], "species": ["Rb", "Rb", "Nb", "Tl", "Tl", "Tl", "Se", "Se", "Se", "Se", "Se", "Se"], "fractional_positions": [[0.1795, 0.8205, 0.0000], [0.8205, 0.1795, 0.0000], [0.5000, 0.5000, 0.0000], [0.0000, 0.0000, 0.5000], [0.3747, 0.6253, 0.5000], [0.6253, 0.3747, 0.5000], [0.1747, 0.4226, 0.7731], [0.2804, 0.2804, 0.2016], [0.4226, 0.1747, 0.7731], [0.5774, 0.8253, 0.2269], [0.7196, 0.7196, 0.7984], [0.8253, 0.5774, 0.2269]], "dos_ef_per_ev_fu": 7.34, "magnetic_moment_mub_per_fu": 0.0, "formation_energy_uncorrected_ev_per_atom": -0.645, "energy_ev_per_atom": -3.98, "sg": "C2/m"}


No. 2
{"formula": "Ac2Pm2Hg", "functional": "GGA-PBE", "state": "optimized geometry", "lattice": [[-1.9609, 1.9609, 11.8252], [1.9609, -1.9609, 11.8252], [1.9609, 1.9609, -11.8252]], "species": ["Ac", "Ac", "Pm", "Pm", "Hg"], "fractional_positions": [[0.0883, 0.0883, 0.0000], [0.9117, 0.9117, 0.0000], [0.2992, 0.2992, 0.0000], [0.7008, 0.7008, 0.0000], [0.5000, 0.5000, 0.0000]], "dos_ef_per_ev_fu": 5.08, "magnetic_moment_mub_per_fu": 0.0, "energy_ev_per_atom": -3.77, "formation_energy_ev_per_atom": -0.162, "sg": "I4/mmm"}


No. 3
{"formula": "HoNbGa2O8", "functional": "GGA-PBE", "state": "optimized geometry", "lattice": [[-3.4157, 3.4157, 3.2589], [3.4157, -3.4157, 3.2589], [3.4157, 3.4157, -3.2589]], "species": ["Ho", "Nb", "Ga", "Ga", "O", "O", "O", "O", "O", "O", "O", "O"], "fractional_positions": [[0.0000, 0.0000, 0.0000], [0.7500, 0.2500, 0.5000], [0.2500, 0.7500, 0.5000], [0.5000, 0.5000, 0.0000], [0.0365, 0.3607, 0.3242], [0.0365, 0.7123, 0.6758], [0.1094, 0.3134, 0.7959], [0.2877, 0.9635, 0.3242], [0.5175, 0.3134, 0.2041], [0.6393, 0.9635, 0.6758], [0.6866, 0.4825, 0.7959], [0.6866, 0.8906, 0.2041]], "dos_ef_per_ev_fu": 9.58, "magnetic_moment_mub_per_fu": 2.1, "formation_energy_uncorrected_ev_per_atom": -2.005, "energy_ev_per_atom": -7.04, "sg": "I-4m2"}


No. 4
{"formula": "Hg2GeTe", "functional": "GGA-PBE", "state": "optimized geometry", "lattice": [[0.0000, 3.7064, 3.7064], [3.7064, 0.0000, 3.7064], [3.7064, 3.7064, 0.0000]], "species": ["Hg", "Hg", "Ge", "Te"], "fractional_positions": [[0.2500, 0.2500, 0.2500], [0.7500, 0.7500, 0.7500], [0.0000, 0.0000, 0.0000], [0.5000, 0.5000, 0.5000]], "dos_ef_per_ev_fu": 3.26, "polymorph_energy_ev_per_atom": 0.148, "magnetic_moment_mub_per_fu": 0.0, "formation_energy_uncorrected_ev_per_atom": 0.337, "energy_ev_per_atom": -1.75, "sg": "Fm-3m"}


No. 5
{"formula": "PaCo2W", "functional": "GGA-PBE", "state": "optimized geometry", "lattice": [[1.4771, 0.8528, 8.4748], [-1.4771, 0.8528, 8.4748], [0.0000, -1.7056, 8.4748]], "species": ["Pa", "Co", "Co", "W"], "fractional_positions": [[0.0000, 0.0000, 0.0000], [0.2378, 0.2378, 0.2378], [0.7622, 0.7622, 0.7622], [0.5000, 0.5000, 0.5000]], "dos_ef_per_ev_fu": 4.47, "polymorph_energy_ev_per_atom": 0.321, "magnetic_moment_mub_per_fu": 0.0, "energy_ev_per_atom": -8.79, "formation_energy_ev_per_atom": 0.371, "sg": "R-3m"}


No. 6
{"formula": "TcRhW2", "functional": "GGA-PBE", "state": "optimized geometry", "lattice": [[3.2190, 0.0000, 0.0000], [0.0000, 3.2190, 0.0000], [0.0000, 0.0000, 6.0095]], "species": ["Tc", "Rh", "W", "W"], "fractional_positions": [[0.0000, 0.0000, 0.0000], [0.5000, 0.5000, 0.7081], [0.0000, 0.0000, 0.4917], [0.5000, 0.5000, 0.2198]], "dos_ef_per_ev_fu": 5.01, "polymorph_energy_ev_per_atom": 0.124, "magnetic_moment_mub_per_fu": 0.0, "energy_ev_per_atom": -10.77, "formation_energy_ev_per_atom": 0.132, "sg": "P4mm"}


No. 7
{"formula": "La2TcCl", "functional": "GGA-PBE", "state": "optimized geometry", "lattice": [[1.9388, 1.1194, 8.4108], [-1.9388, 1.1194, 8.4108], [0.0000, -2.2388, 8.4108]], "species": ["La", "La", "Tc", "Cl"], "fractional_positions": [[0.2409, 0.2409, 0.2409], [0.7591, 0.7591, 0.7591], [0.5000, 0.5000, 0.5000], [0.0000, 0.0000, 0.0000]], "dos_ef_per_ev_fu": 2.00, "polymorph_energy_ev_per_atom": 0.166, "magnetic_moment_mub_per_fu": 0.0, "formation_energy_uncorrected_ev_per_atom": -0.609, "energy_ev_per_atom": -6.13, "sg": "R-3m"}


No. 8
{"formula": "La8Dy3Ho3", "functional": "GGA-PBE", "state": "optimized geometry", "lattice": [[-2.8475, 5.5461, 7.6190], [2.8475, -5.5461, 7.6190], [2.8475, 5.5461, -7.6190]], "species": ["La", "La", "La", "La", "La", "La", "La", "La", "Dy", "Dy", "Dy", "Ho", "Ho", "Ho"], "fractional_positions": [[0.0549, 0.3933, 0.6616], [0.0735, 0.2303, 0.8431], [0.2684, 0.6067, 0.6616], [0.3872, 0.2303, 0.1569], [0.6128, 0.7697, 0.8431], [0.7316, 0.3933, 0.3384], [0.9265, 0.7697, 0.1569], [0.9451, 0.6067, 0.3384], [0.3246, 0.8246, 0.5000], [0.5000, 0.5000, 0.0000], [0.6754, 0.1754, 0.5000], [0.0000, 0.0000, 0.0000], [0.3005, 0.0000, 0.3005], [0.6995, 0.0000, 0.6995]], "dos_ef_per_ev_fu": 19.23, "magnetic_moment_mub_per_fu": 0.0, "energy_ev_per_atom": -4.68, "formation_energy_ev_per_atom": 0.100, "sg": "Immm"}


- Number 7 is which compound?
  La2TcCl